Record 1
14
Lattice="-3.8183 5.0162 2.5899 3.8183 -5.0162 2.5899 3.8183 5.0162 -2.5899" Properties=species:S:1:pos:R:3 comment="Pm2MnC4 | the Alexandria database | PBE | optimized geometry" dos_ef_per_ev_cell=5.24 m_tot_mub_per_fu=1.0 final_energy_ev_per_atom=-8.114 ef_ev_per_fu=-1.23 pbc="T T T"
Pm 1.2204 1.4507 0.0000
Pm 1.2204 -1.4507 2.5899
Pm 2.5979 6.4669 0.0000
Pm 2.5979 3.5654 2.5899
Mn 3.8183 0.0000 1.2950
Mn 0.0000 5.0162 1.2950
C 5.0900 0.7856 0.0000
C 6.3797 1.2525 0.0000
C 2.5614 3.7637 0.0000
C 1.2717 4.2306 0.0000
C 2.5466 0.7856 2.5899
C 1.2569 1.2525 2.5899
C -2.5614 3.7637 2.5899
C -1.2717 4.2306 2.5899

---

Record 2
10
Lattice="5.6075 -2.6284 0.0000 5.6075 2.6284 0.0000 -3.5729 0.0000 5.7501" Properties=species:S:1:pos:R:3 comment="Pm2MnC2 | the Alexandria database | PBE | optimized geometry" dos_ef_per_ev_cell=3.51 m_tot_mub_per_fu=0.0 final_energy_ev_per_atom=-7.617 ef_ev_per_fu=-0.97 polymorph_energy_ev_per_fu=0.000 pbc="T T T"
Pm -0.5671 0.0000 1.6740
Pm 0.4150 0.0000 5.0461
Pm 7.2271 0.0000 0.7040
Pm 8.2092 0.0000 4.0761
Mn 2.8432 0.0000 2.1167
Mn 4.7989 0.0000 3.6334
C 1.7069 0.0000 0.7007
C 2.9754 0.0000 4.0330
C 4.6667 0.0000 1.7171
C 5.9352 0.0000 5.0494